(1)
# Er3Ga7Tc2

An optimized crystal structure of Er3Ga7Tc2 (PBE, Alexandria).

The space group is Cmmm (No. 65) and the conventional cell measures 4.690, 22.719 and 4.686 Å, with angles of 90.00, 90.00 and 90.00 degrees. The asymmetric unit holds Er at (0.000, 0.000, 0.000), Er at (0.000, 0.184, 0.000), Ga at (0.000, 0.095, 0.500), Ga at (0.000, 0.281, 0.500), Ga at (0.000, 0.406, 0.000), Ga at (0.000, 0.500, 0.500) and Tc at (0.000, 0.394, 0.500).

The value obtained for the calculated formation energy is -0.29 eV/atom.

***

(2)
# Er2Ga5Tc

An optimized crystal structure of Er2Ga5Tc (PBE, Alexandria).

The space group is I4mm (No. 107) and the conventional cell measures 6.322, 6.322 and 7.348 Å, with angles of 90.00, 90.00 and 90.00 degrees. The asymmetric unit holds Er at (0.000, 0.500, 0.000), Ga at (0.000, 0.000, 0.460), Ga at (0.211, 0.211, 0.752) and Tc at (0.000, 0.000, 0.108).

The value obtained for the calculated formation energy is -0.36 eV/atom.

***

(3)
# Er3Ga3Tc

An optimized crystal structure of Er3Ga3Tc (PBE, Alexandria).

The space group is C2/m (No. 12) and the conventional cell measures 10.767, 4.185 and 14.295 Å, with angles of 90.00, 109.27 and 90.00 degrees. The asymmetric unit holds Er at (0.029, 0.000, 0.381), Er at (0.108, 0.000, 0.924), Er at (0.242, 0.000, 0.234), Ga at (0.035, 0.500, 0.232), Ga at (0.110, 0.500, 0.075), Ga at (0.134, 0.500, 0.544) and Tc at (0.233, 0.500, 0.400).

The value obtained for the calculated formation energy is -0.50 eV/atom.

***

(4)
# ErGa4Tc

An optimized crystal structure of ErGa4Tc (PBE, Alexandria).

The space group is F-43m (No. 216) and the conventional cell measures 7.428, 7.428 and 7.428 Å, with angles of 90.00, 90.00 and 90.00 degrees. The asymmetric unit holds Er at (0.000, 0.000, 0.000), Ga at (0.125, 0.125, 0.625) and Tc at (0.250, 0.250, 0.250).

The value obtained for the calculated formation energy is -0.09 eV/atom. The excess energy over the best structure of this formula in the dataset comes out at 147.4 meV/atom.

***

no.,D(E_F) (states/eV per atom),magnetization (μB/f.u.)
1,0.33,0.000
2,0.48,0.000
3,0.91,0.000
4,0.87,1.171